Density functional theory data (PBE) for Pr2Nd5Ho5 after structural relaxation.

Cell and atoms, written as POSCAR:
```
Pr2Nd5Ho5
1.0
4.993 0.000 1.067
2.204 7.560 1.904
0.292 0.624 10.851
Pr Nd Ho
2 5 5
Direct
0.917 0.414 0.751 Pr
0.083 0.586 0.249 Pr
0.834 0.832 0.499 Nd
0.249 0.750 0.753 Nd
0.751 0.250 0.247 Nd
0.166 0.168 0.501 Nd
0.000 0.000 0.000 Nd
0.500 0.500 0.500 Ho
0.333 0.333 0.001 Ho
0.417 0.917 0.249 Ho
0.583 0.083 0.751 Ho
0.667 0.667 0.999 Ho
```

Summary:
The energy of formation from the pure elements is 0.017 eV per atom. For the raw total energy, the calculation gives -4.6734 eV per atom.

---

Density functional theory data (PBE) for Pr3Nd4Ho5 after structural relaxation.

Cell and atoms, written as POSCAR:
```
Pr3Nd4Ho5
1.0
-1.292 -5.002 5.071
8.516 0.527 -7.649
-5.048 2.737 11.737
Pr Nd Ho
3 4 5
Direct
0.581 0.163 0.331 Pr
0.000 0.000 0.500 Pr
0.419 0.837 0.669 Pr
0.917 0.837 0.669 Nd
0.830 0.661 0.831 Nd
0.170 0.339 0.169 Nd
0.083 0.163 0.331 Nd
0.330 0.665 0.835 Ho
0.500 0.000 0.500 Ho
0.751 0.501 0.001 Ho
0.249 0.499 0.999 Ho
0.670 0.335 0.165 Ho
```

Summary:
The energy of formation from the pure elements is 0.017 eV per atom. For the raw total energy, the calculation gives -4.6750 eV per atom. The energy above the most stable polymorph in this dataset comes out at 0.00 eV per formula unit.

---

Density functional theory data (PBE) for Pr6NdHo2 after structural relaxation.

Cell and atoms, written as POSCAR:
```
Pr6NdHo2
1.0
3.654 0.327 0.235
-0.159 6.261 -6.453
0.954 0.743 13.122
Pr Nd Ho
6 1 2
Direct
0.891 0.553 0.217 Pr
0.109 0.447 0.783 Pr
0.666 0.668 0.669 Pr
0.780 0.106 0.441 Pr
0.220 0.894 0.559 Pr
0.334 0.332 0.331 Pr
0.000 0.000 0.000 Nd
0.445 0.777 0.110 Ho
0.555 0.223 0.890 Ho
```

Summary:
The energy of formation from the pure elements is 0.018 eV per atom. For the raw total energy, the calculation gives -4.7155 eV per atom. The energy above the most stable polymorph in this dataset comes out at 0.00 eV per formula unit.